## i
## MnP2Rh (PBE)

Data for a relaxed MnP2Rh crystal.

a = 3.4740 Å, b = 3.4740 Å, c = 8.7993 Å
α = 90.00°, β = 90.00°, γ = 90.00°
Closest atoms and distances in Å follow each position.
Space group I-4m2 (No. 119)
Inequivalent atoms, fractional coordinates:
1 Mn 0.0000 0.0000 0.0000 x2  4 P 2.46
2 P 0.0000 0.0000 0.5000 x2  4 Mn 2.46
3 P 0.0000 0.5000 0.7500 x2  4 Rh 2.46
4 Rh 0.0000 0.5000 0.2500 x2  4 P 2.46

---

## ii
## MnP2Rh (PBE)

Data for a relaxed MnP2Rh crystal.

a = 5.1189 Å, b = 5.1189 Å, c = 10.3309 Å
α = 90.00°, β = 90.00°, γ = 90.00°
Closest atoms and distances in Å follow each position.
Space group I-42d (No. 122)
Inequivalent atoms, fractional coordinates:
1 Mn 0.0000 0.0000 0.0000 x4  4 P 2.17
2 P 0.2308 0.2500 0.1250 x8  2 Mn 2.17, 2 Rh 2.28
3 Rh 0.0000 0.0000 0.5000 x4  4 P 2.28

---

## iii
## MnP2Rh (PBE)

Data for a relaxed MnP2Rh crystal.

a = 2.7830 Å, b = 5.2228 Å, c = 7.4719 Å
α = 90.00°, β = 90.00°, γ = 90.00°
Closest atoms and distances in Å follow each position.
Space group Immm (No. 71)
Inequivalent atoms, fractional coordinates:
1 Mn 0.0000 0.0000 0.0000 x2  4 P 2.26
2 P 0.0000 0.5000 0.2610 x4  2 Mn 2.26, 2 Rh 2.40
3 Rh 0.0000 0.0000 0.5000 x2  4 P 2.40

---

## iv
## MnP2Rh (PBE)

Data for a relaxed MnP2Rh crystal.

a = 7.6119 Å, b = 3.0452 Å, c = 4.6748 Å
α = 90.00°, β = 103.11°, γ = 90.00°
Closest atoms and distances in Å follow each position.
Space group Cm (No. 8)
Inequivalent atoms, fractional coordinates:
1 Mn 0.0000 0.0000 0.0000 x2  5 P 2.19-2.31
2 P 0.0221 0.5000 0.6385 x2  2 Mn 2.31, 3 Rh 2.40-2.42
3 P 0.2914 0.0000 0.0350 x2  3 Mn 2.19-2.23, 2 Rh 2.39
4 Rh 0.2804 0.5000 0.4245 x2  5 P 2.39-2.42

---

Stability check: which of them is most stable? iv.

---

## i
## Mn3PRh (PBE)

Data for a relaxed Mn3PRh crystal.

a = 4.7520 Å, b = 4.7520 Å, c = 4.7520 Å
α = 90.00°, β = 90.00°, γ = 90.00°
Closest atoms and distances in Å follow each position.
Space group Pm-3m (No. 221)
Inequivalent atoms, fractional coordinates:
1 Mn 0.0000 0.0000 0.5000 x3  2 Rh 2.38
2 P 0.5000 0.5000 0.5000 x1  12 Mn 3.36
3 Rh 0.0000 0.0000 0.0000 x1  6 Mn 2.38

---

## ii
## Mn3PRh (PBE)

Data for a relaxed Mn3PRh crystal.

a = 4.0765 Å, b = 4.0765 Å, c = 4.0765 Å
α = 90.00°, β = 90.00°, γ = 90.00°
Closest atoms and distances in Å follow each position.
Space group Pm-3m (No. 221)
Inequivalent atoms, fractional coordinates:
1 Mn 0.0000 0.0000 0.5000 x3  2 P 2.04
2 P 0.0000 0.0000 0.0000 x1  6 Mn 2.04
3 Rh 0.5000 0.5000 0.5000 x1  12 Mn 2.88

---

Stability check: which of them is most stable? ii.

---

## i
## MnPRhS2 (PBE)

Data for a relaxed MnPRhS2 crystal.

a = 4.4046 Å, b = 4.4046 Å, c = 4.3602 Å
α = 90.00°, β = 90.00°, γ = 90.00°
Closest atoms and distances in Å follow each position.
Space group P4/mmm (No. 123)
Inequivalent atoms, fractional coordinates:
1 Mn 0.0000 0.0000 0.0000 x1  2 P 2.18, 4 S 2.20
2 P 0.0000 0.0000 0.5000 x1  2 Mn 2.18
3 Rh 0.5000 0.5000 0.5000 x1  8 S 3.10, 4 P 3.11
4 S 0.0000 0.5000 0.0000 x2  2 Mn 2.20

---

## ii
## MnPRhS2 (PBE)

Data for a relaxed MnPRhS2 crystal.

a = 4.7817 Å, b = 4.7817 Å, c = 4.3096 Å
α = 90.00°, β = 90.00°, γ = 90.00°
Closest atoms and distances in Å follow each position.
Space group P4/mmm (No. 123)
Inequivalent atoms, fractional coordinates:
1 Mn 0.0000 0.0000 0.0000 x1  8 S 3.22, 4 P 3.38
2 P 0.5000 0.5000 0.0000 x1  2 Rh 2.15
3 Rh 0.5000 0.5000 0.5000 x1  2 P 2.15, 4 S 2.39
4 S 0.0000 0.5000 0.5000 x2  2 Rh 2.39

---

Stability check: which of them is most stable? i.

---

## i
## Mn2PRu (PBE)

Data for a relaxed Mn2PRu crystal.

a = 4.1126 Å, b = 4.1126 Å, c = 2.7966 Å
α = 90.00°, β = 90.00°, γ = 90.00°
Closest atoms and distances in Å follow each position.
Space group P4/mmm (No. 123)
Inequivalent atoms, fractional coordinates:
1 Mn 0.0000 0.5000 0.0000 x2  4 Ru 2.49, 4 P 2.49
2 P 0.0000 0.0000 0.5000 x1  8 Mn 2.49
3 Ru 0.5000 0.5000 0.5000 x1  8 Mn 2.49

---

## ii
## Mn2PRu (PBE)

Data for a relaxed Mn2PRu crystal.

a = 2.7397 Å, b = 2.7397 Å, c = 23.1835 Å
α = 90.00°, β = 90.00°, γ = 120.00°
Closest atoms and distances in Å follow each position.
Space group R3m (No. 160, hexagonal axes)
Inequivalent atoms, fractional coordinates:
1 Mn 0.0000 0.0000 0.0000 x3  3 P 2.40, 3 Mn 2.49
2 Mn 0.0000 0.0000 0.2502 x3  9 Mn 2.49-2.74, 3 Ru 2.68
3 P 0.0000 0.0000 0.7446 x3  3 Mn 2.40, 3 Ru 2.42
4 Ru 0.0000 0.0000 0.4905 x3  3 P 2.42, 3 Mn 2.68

---

## iii
## Mn2PRu (PBE)

Data for a relaxed Mn2PRu crystal.

a = 2.8789 Å, b = 2.8789 Å, c = 5.8422 Å
α = 90.00°, β = 90.00°, γ = 90.00°
Closest atoms and distances in Å follow each position.
Space group P4mm (No. 99)
Inequivalent atoms, fractional coordinates:
1 Mn 0.0000 0.0000 0.0000 x1  4 Mn 2.53, 4 Ru 2.64, 1 P 2.72
2 Mn 0.5000 0.5000 0.2580 x1  4 P 2.37, 4 Mn 2.53
3 P 0.0000 0.0000 0.4664 x1  4 Mn 2.37, 4 Ru 2.49
4 Ru 0.5000 0.5000 0.7129 x1  4 P 2.49, 5 Mn 2.64-2.66

---

Stability check: which of them is most stable? iii.

---

## i
## Mn2PRu (PBE)

Data for a relaxed Mn2PRu crystal.

a = 5.7512 Å, b = 5.7512 Å, c = 5.7512 Å
α = 90.00°, β = 90.00°, γ = 90.00°
Closest atoms and distances in Å follow each position.
Space group F-43m (No. 216)
Inequivalent atoms, fractional coordinates:
1 Mn 0.0000 0.0000 0.0000 x4  4 Mn 2.49, 4 P 2.49
2 Mn 0.2500 0.2500 0.2500 x4  4 Mn 2.49, 4 Ru 2.49
3 P 0.2500 0.2500 0.7500 x4  4 Mn 2.49, 4 Ru 2.49
4 Ru 0.0000 0.0000 0.5000 x4  4 Mn 2.49, 4 P 2.49

---

## ii
## Mn2PRu (PBE)

Data for a relaxed Mn2PRu crystal.

a = 2.6662 Å, b = 3.7202 Å, c = 4.8811 Å
α = 90.00°, β = 103.42°, γ = 90.00°
Closest atoms and distances in Å follow each position.
Space group P2/m (No. 10)
Inequivalent atoms, fractional coordinates:
1 Mn 0.1196 0.0000 0.2694 x2  2 P 2.29, 2 Mn 2.48-2.56
2 P 0.5000 0.5000 0.5000 x1  4 Mn 2.29, 2 Ru 2.44
3 Ru 0.5000 0.5000 0.0000 x1  2 P 2.44, 8 Mn 2.61-2.63, 2 Ru 2.67

---

Stability check: which of them is most stable? i.

---

## i
## MnPRu3 (PBE)

Data for a relaxed MnPRu3 crystal.

a = 4.3856 Å, b = 4.3856 Å, c = 4.3856 Å
α = 90.00°, β = 90.00°, γ = 90.00°
Closest atoms and distances in Å follow each position.
Space group Pm-3m (No. 221)
Inequivalent atoms, fractional coordinates:
1 Mn 0.0000 0.0000 0.0000 x1  6 Ru 2.19
2 P 0.5000 0.5000 0.5000 x1  12 Ru 3.10
3 Ru 0.0000 0.0000 0.5000 x3  2 Mn 2.19

---

## ii
## MnPRu3 (PBE)

Data for a relaxed MnPRu3 crystal.

a = 4.2890 Å, b = 4.2890 Å, c = 4.2890 Å
α = 90.00°, β = 90.00°, γ = 90.00°
Closest atoms and distances in Å follow each position.
Space group Pm-3m (No. 221)
Inequivalent atoms, fractional coordinates:
1 Mn 0.0000 0.0000 0.0000 x1  12 Ru 3.03
2 P 0.5000 0.5000 0.5000 x1  6 Ru 2.14
3 Ru 0.0000 0.5000 0.5000 x3  2 P 2.14

---

Stability check: which of them is most stable? ii.

---

## i
## MnPRuS (PBE)

Data for a relaxed MnPRuS crystal.

a = 7.5553 Å, b = 3.0127 Å, c = 4.8793 Å
α = 90.00°, β = 102.26°, γ = 90.00°
Closest atoms and distances in Å follow each position.
Space group Cm (No. 8)
Inequivalent atoms, fractional coordinates:
1 Mn 0.0000 0.0000 0.0000 x2  3 P 2.18-2.24, 2 S 2.27
2 P 0.2949 0.0000 0.0717 x2  3 Mn 2.18-2.24, 2 Ru 2.34
3 Ru 0.2796 0.5000 0.4333 x2  2 P 2.34, 3 S 2.43-2.45
4 S 0.0192 0.5000 0.6586 x2  2 Mn 2.27, 3 Ru 2.43-2.45

---

## ii
## MnPRuS (PBE)

Data for a relaxed MnPRuS crystal.

a = 2.8805 Å, b = 2.9321 Å, c = 12.2946 Å
α = 90.00°, β = 90.00°, γ = 90.00°
Closest atoms and distances in Å follow each position.
Space group Imm2 (No. 44)
Inequivalent atoms, fractional coordinates:
1 Mn 0.0000 0.0000 0.0000 x2  2 S 2.21, 4 P 2.38
2 P 0.0000 0.0000 0.5978 x2  4 Mn 2.38, 4 Ru 2.50
3 Ru 0.0000 0.0000 0.2131 x2  2 S 2.36, 4 P 2.50, 1 Mn 2.62
4 S 0.0000 0.5000 0.3634 x2  2 Mn 2.21, 2 Ru 2.36

---

## iii
## MnPRuS (PBE)

Data for a relaxed MnPRuS crystal.

a = 3.0491 Å, b = 3.3927 Å, c = 5.3516 Å
α = 90.00°, β = 90.00°, γ = 90.00°
Closest atoms and distances in Å follow each position.
Space group Pmm2 (No. 25)
Inequivalent atoms, fractional coordinates:
1 Mn 0.0000 0.0000 0.0000 x1  4 S 2.33
2 P 0.0000 0.0000 0.4954 x1  4 Ru 2.44, 2 Mn 2.65-2.70
3 Ru 0.5000 0.5000 0.6579 x1  1 S 2.33, 4 P 2.44
4 S 0.5000 0.5000 0.0926 x1  1 Ru 2.33, 4 Mn 2.33

---

## iv
## MnPRuS (PBE)

Data for a relaxed MnPRuS crystal.

a = 7.4157 Å, b = 2.9954 Å, c = 4.9695 Å
α = 90.00°, β = 101.87°, γ = 90.00°
Closest atoms and distances in Å follow each position.
Space group Cm (No. 8)
Inequivalent atoms, fractional coordinates:
1 Mn 0.0000 0.0000 0.0000 x2  3 S 2.15-2.21, 2 P 2.33
2 P 0.4746 0.0000 0.3495 x2  2 Mn 2.33, 3 Ru 2.39
3 Ru 0.2139 0.0000 0.5618 x2  2 S 2.37, 3 P 2.39
4 S 0.2036 0.5000 0.9288 x2  3 Mn 2.15-2.21, 2 Ru 2.37

---

Stability check: which of them is most stable? ii.

---

## i
## MnPRuS (PBE)

Data for a relaxed MnPRuS crystal.

a = 4.1364 Å, b = 2.9389 Å, c = 5.1058 Å
α = 90.00°, β = 113.69°, γ = 90.00°
Closest atoms and distances in Å follow each position.
Space group Pm (No. 6)
Inequivalent atoms, fractional coordinates:
1 Mn 0.0000 0.0000 0.0000 x1  2 S 2.14, 2 P 2.23-2.30
2 P 0.6061 0.0000 0.1960 x1  2 Mn 2.23-2.30, 2 Ru 2.30
3 Ru 0.0154 0.5000 0.4955 x1  2 S 2.26-2.40, 2 P 2.30
4 S 0.6491 0.5000 0.7250 x1  2 Mn 2.14, 1 Ru 2.26

---

## ii
## MnPRuS (PBE)

Data for a relaxed MnPRuS crystal.

a = 3.0191 Å, b = 2.9942 Å, c = 12.1601 Å
α = 90.00°, β = 90.00°, γ = 90.00°
Closest atoms and distances in Å follow each position.
Space group Amm2 (No. 38)
Inequivalent atoms, fractional coordinates:
1 Mn 0.0000 0.0000 0.0000 x2  4 S 2.21, 1 P 2.26
2 P 0.0000 0.0000 0.8143 x2  1 Mn 2.26, 4 Ru 2.47
3 Ru 0.5000 0.0000 0.2116 x2  2 S 2.46, 4 P 2.47
4 S 0.5000 0.0000 0.5510 x2  4 Mn 2.21, 2 Ru 2.46

---

## iii
## MnPRuS (PBE)

Data for a relaxed MnPRuS crystal.

a = 6.1353 Å, b = 3.5375 Å, c = 5.7130 Å
α = 90.00°, β = 90.07°, γ = 90.00°
Closest atoms and distances in Å follow each position.
Space group Cm (No. 8)
Inequivalent atoms, fractional coordinates:
1 Mn 0.0000 0.0000 0.0000 x2  3 S 2.43-2.44, 3 P 2.60-2.61, 1 Ru 2.60
2 P 0.3345 0.0000 0.7179 x2  3 Ru 2.27
3 Ru 0.0012 0.0000 0.5442 x2  3 P 2.27
4 S 0.1674 0.5000 0.2317 x2  3 Mn 2.43-2.44, 3 Ru 2.71-2.72

---

Stability check: which of them is most stable? iii.

---

## i
## MnPRuS (PBE)

Data for a relaxed MnPRuS crystal.

a = 6.7415 Å, b = 2.9659 Å, c = 5.5106 Å
α = 90.00°, β = 90.50°, γ = 90.00°
Closest atoms and distances in Å follow each position.
Space group Cm (No. 8)
Inequivalent atoms, fractional coordinates:
1 Mn 0.0000 0.0000 0.0000 x2  3 S 2.18-2.25, 2 P 2.28
2 P 0.3896 0.0000 0.2834 x2  3 Ru 2.26-2.38, 2 Mn 2.28
3 Ru 0.1047 0.0000 0.4973 x2  3 P 2.26-2.38, 2 S 2.45
4 S 0.2080 0.5000 0.8283 x2  3 Mn 2.18-2.25

---

## ii
## MnPRuS (PBE)

Data for a relaxed MnPRuS crystal.

a = 6.3086 Å, b = 3.6522 Å, c = 5.7108 Å
α = 90.00°, β = 90.10°, γ = 90.00°
Closest atoms and distances in Å follow each position.
Space group Cm (No. 8)
Inequivalent atoms, fractional coordinates:
1 Mn 0.0000 0.0000 0.0000 x2  3 S 2.45, 3 P 2.52-2.53
2 P 0.1680 0.5000 0.2458 x2  3 Ru 2.23
3 Ru 0.3344 0.0000 0.3731 x2  3 P 2.23, 1 S 2.33
4 S 0.3335 0.0000 0.7813 x2  1 Ru 2.33, 3 Mn 2.45

---

## iii
## MnPRuS (PBE)

Data for a relaxed MnPRuS crystal.

a = 3.2223 Å, b = 3.2223 Å, c = 19.5854 Å
α = 90.00°, β = 90.00°, γ = 120.00°
Closest atoms and distances in Å follow each position.
Space group R3m (No. 160, hexagonal axes)
Inequivalent atoms, fractional coordinates:
1 Mn 0.0000 0.0000 0.0000 x3  3 S 2.30, 3 P 2.40
2 P 0.0000 0.0000 0.2561 x3  3 Ru 2.28, 3 Mn 2.40
3 Ru 0.0000 0.0000 0.8555 x3  3 P 2.28, 1 S 2.35
4 S 0.0000 0.0000 0.7354 x3  3 Mn 2.30, 1 Ru 2.35

---

Stability check: which of them is most stable? iii.

---

## i
## MnPRuS2 (PBE)

Data for a relaxed MnPRuS2 crystal.

a = 4.3066 Å, b = 4.3066 Å, c = 4.3322 Å
α = 90.00°, β = 90.00°, γ = 90.00°
Closest atoms and distances in Å follow each position.
Space group P4/mmm (No. 123)
Inequivalent atoms, fractional coordinates:
1 Mn 0.0000 0.0000 0.0000 x1  4 S 2.15, 2 P 2.17
2 P 0.0000 0.0000 0.5000 x1  2 Mn 2.17
3 Ru 0.5000 0.5000 0.5000 x1  4 P 3.05, 8 S 3.05
4 S 0.0000 0.5000 0.0000 x2  2 Mn 2.15

---

## ii
## MnPRuS2 (PBE)

Data for a relaxed MnPRuS2 crystal.

a = 4.8143 Å, b = 4.8143 Å, c = 4.3390 Å
α = 90.00°, β = 90.00°, γ = 90.00°
Closest atoms and distances in Å follow each position.
Space group P4/mmm (No. 123)
Inequivalent atoms, fractional coordinates:
1 Mn 0.0000 0.0000 0.0000 x1  8 S 3.24, 4 P 3.40
2 P 0.5000 0.5000 0.0000 x1  2 Ru 2.17
3 Ru 0.5000 0.5000 0.5000 x1  2 P 2.17, 4 S 2.41
4 S 0.0000 0.5000 0.5000 x2  2 Ru 2.41

---

Stability check: which of them is most stable? ii.